[1]
The following is a PBE-GGA calculation of KZn2Co after structural relaxation, from Alexandria.

Cell: 8.8554 8.8554 8.8554 Å, 146.16 146.16 48.61°
Element x y z (fractional)
K 0.3750 0.6250 0.7500
K 0.6250 0.3750 0.2500
Zn 0.0000 0.0000 0.0000
Zn 0.0000 0.0000 0.5000
Zn 0.0000 0.5000 0.0000
Zn 0.5000 0.0000 0.5000
Co 0.1250 0.8750 0.2500
Co 0.8750 0.1250 0.7500

The crystal system is tetragonal. As for the distance to the lowest polymorph of the same formula: 177 meV/atom. As for the formation energy: 1.82 eV/f.u.

[2]
The following is a PBE-GGA calculation of CaMgTc after structural relaxation, from Alexandria.

Cell: 4.8218 4.8218 4.8218 Å, 60.00 60.00 60.00°
Element x y z (fractional)
Ca 0.0000 0.0000 0.0000
Mg 0.5000 0.5000 0.5000
Tc 0.2500 0.2500 0.2500

The crystal system is cubic. As for the distance to the lowest polymorph of the same formula: 451 meV/atom. As for the formation energy: 2.70 eV/f.u.

[3]
The following is a PBE-GGA calculation of Hg2Bi4Pb5 after structural relaxation, from Alexandria.

Cell: 8.5242 8.5242 9.5649 Å, 94.87 94.87 32.94°
Element x y z (fractional)
Hg 0.0435 0.0435 0.1478
Hg 0.9565 0.9565 0.8522
Bi 0.2443 0.2443 0.2556
Bi 0.4492 0.4492 0.2593
Bi 0.5508 0.5508 0.7407
Bi 0.7557 0.7557 0.7444
Pb 0.0000 0.0000 0.5000
Pb 0.3373 0.3373 0.9487
Pb 0.3534 0.3534 0.5699
Pb 0.6466 0.6466 0.4301
Pb 0.6627 0.6627 0.0513

The crystal system is monoclinic. As for the distance to the lowest polymorph of the same formula: 0 meV/atom. As for the formation energy: 0.78 eV/f.u.

[4]
The following is a PBE-GGA calculation of K4YSe after structural relaxation, from Alexandria.

Cell: 7.2609 7.2609 7.2609 Å, 60.00 60.00 60.00°
Element x y z (fractional)
K 0.1230 0.1230 0.1230
K 0.1230 0.1230 0.6311
K 0.1230 0.6311 0.1230
K 0.6311 0.1230 0.1230
Y 0.5000 0.5000 0.5000
Se 0.7500 0.7500 0.7500

The calculation puts the total energy at -2.0145 eV per atom. The crystal system is cubic.

[5]
The following is a PBE-GGA calculation of Er6Tl2BiTe3 after structural relaxation, from Alexandria.

Cell: 9.9883 9.9883 8.7710 Å, 110.88 110.88 25.20°
Element x y z (fractional)
Er 0.0126 0.0126 0.2585
Er 0.3274 0.3274 0.8538
Er 0.3388 0.3388 0.3596
Er 0.6612 0.6612 0.6404
Er 0.6726 0.6726 0.1462
Er 0.9874 0.9874 0.7415
Tl 0.1865 0.1865 0.4110
Tl 0.8135 0.8135 0.5890
Bi 0.5000 0.5000 0.0000
Te 0.1615 0.1615 0.8835
Te 0.5000 0.5000 0.5000
Te 0.8385 0.8385 0.1165

The calculation puts the total energy at -4.6407 eV per atom. The crystal system is monoclinic.

[6]
The following is a PBE-GGA calculation of CrSb2AuI after structural relaxation, from Alexandria.

Cell: 5.0752 5.0752 5.3516 Å, 90.00 90.00 90.00°
Element x y z (fractional)
Cr 0.0000 0.0000 0.0000
Sb 0.0000 0.5000 0.0000
Sb 0.5000 0.0000 0.0000
Au 0.5000 0.5000 0.5000
I 0.0000 0.0000 0.5000

The crystal system is tetragonal. As for the distance to the lowest polymorph of the same formula: 0 meV/atom.

[7]
The following is a PBE-GGA calculation of LaHoAlIn after structural relaxation, from Alexandria.

Cell: 3.7386 3.7386 7.6864 Å, 90.00 90.00 90.00°
Element x y z (fractional)
La 0.0000 0.0000 0.0000
Ho 0.0000 0.0000 0.4769
Al 0.5000 0.5000 0.2590
In 0.5000 0.5000 0.7153

The crystal system is tetragonal. As for the distance to the lowest polymorph of the same formula: 0 meV/atom. As for the formation energy: -1.73 eV/f.u.

[8]
The following is a PBE-GGA calculation of Pa2MnI after structural relaxation, from Alexandria.

Cell: 8.1468 8.1468 8.1468 Å, 27.99 27.99 27.99°
Element x y z (fractional)
Pa 0.2229 0.2229 0.2229
Pa 0.7771 0.7771 0.7771
Mn 0.5000 0.5000 0.5000
I 0.0000 0.0000 0.0000

The calculation puts the total energy at -7.5962 eV per atom. The crystal system is trigonal.